# 1
Dy6Y5Th2: relaxed, PBE.

Summary:
As for the total DFT energy (no corrections): -5.644 eV per atom. As for the crystal system: orthorhombic. For the formation energy, the calculation gives 0.1081 eV per atom.

a b c (Å): 11.476 20.766 3.564
angles (deg): 90.00 90.00 90.00
Space group Pbam (No. 55)
One atom of each set of equivalent atoms:
Dy 0.064 0.148 0.000 x4
Dy 0.081 0.438 0.000 x4
Dy 0.184 0.876 0.500 x4
Y 0.000 0.000 0.500 x2
Y 0.067 0.294 0.500 x4
Y 0.189 0.579 0.500 x4
Th 0.189 0.735 0.000 x4

# 2
Dy4Y3Th: relaxed, PBE.

Summary:
As for the total DFT energy (no corrections): -5.218 eV per atom. As for the crystal system: orthorhombic. For the formation energy, the calculation gives 0.4343 eV per atom. For the relative energy among the computed polymorphs, the calculation gives 260 meV/atom.

a b c (Å): 11.776 13.283 3.378
angles (deg): 90.00 90.00 90.00
Space group Cmmm (No. 65)
One atom of each set of equivalent atoms:
Dy 0.000 0.249 0.000 x4
Dy 0.241 0.000 0.500 x4
Y 0.000 0.500 0.000 x2
Y 0.250 0.250 0.500 x4
Th 0.000 0.000 0.000 x2

# 3
Dy9Y11Th4: relaxed, PBE.

Summary:
As for the total DFT energy (no corrections): -5.815 eV per atom. As for the crystal system: orthorhombic. For the formation energy, the calculation gives 0.1098 eV per atom.

a b c (Å): 16.798 25.273 3.710
angles (deg): 90.00 90.00 90.00
Space group Cmmm (No. 65)
One atom of each set of equivalent atoms:
Dy 0.000 0.000 0.000 x2
Dy 0.101 0.236 0.000 x8
Dy 0.139 0.427 0.000 x8
Y 0.000 0.136 0.500 x4
Y 0.000 0.341 0.500 x4
Y 0.000 0.500 0.500 x2
Y 0.216 0.000 0.500 x4
Y 0.227 0.319 0.500 x8
Th 0.155 0.100 0.000 x8

# 4
Dy6Y2Th3: relaxed, PBE.

Summary:
As for the total DFT energy (no corrections): -5.684 eV per atom. As for the crystal system: trigonal. For the formation energy, the calculation gives 0.0250 eV per atom.

a b c (Å): 3.5685 3.5685 95.1213
angles (deg): 90.00 90.00 120.00
Space group R-3m (No. 166, hexagonal axes)
One atom of each set of equivalent atoms:
Dy 0.0000 0.0000 0.0899 x6
Dy 0.0000 0.0000 0.1818 x6
Dy 0.0000 0.0000 0.3634 x6
Y 0.0000 0.0000 0.4544 x6
Th 0.0000 0.0000 0.0000 x3
Th 0.0000 0.0000 0.2730 x6

# 5
Dy8Y2Th: relaxed, PBE.

Summary:
As for the total DFT energy (no corrections): -5.170 eV per atom. As for the crystal system: monoclinic. For the formation energy, the calculation gives 0.0273 eV per atom. For the relative energy among the computed polymorphs, the calculation gives 0 meV/atom.

a b c (Å): 18.119 5.026 7.948
angles (deg): 90.00 105.28 90.00
Space group C2/m (No. 12)
One atom of each set of equivalent atoms:
Dy 0.045 0.000 0.232 x4
Dy 0.090 0.500 0.952 x4
Dy 0.135 0.000 0.678 x4
Dy 0.180 0.500 0.408 x4
Y 0.228 0.000 0.137 x4
Th 0.000 0.500 0.500 x2

# 6
Dy2Y8Th: relaxed, PBE.

Summary:
As for the total DFT energy (no corrections): -6.036 eV per atom. As for the crystal system: monoclinic. For the formation energy, the calculation gives 0.1762 eV per atom. For the relative energy among the computed polymorphs, the calculation gives 0 meV/atom.

a b c (Å): 10.242 13.300 5.396
angles (deg): 90.00 90.10 90.00
Space group C2/m (No. 12)
One atom of each set of equivalent atoms:
Dy 0.000 0.120 0.000 x4
Y 0.000 0.246 0.500 x4
Y 0.165 0.368 0.000 x8
Y 0.166 0.000 0.500 x4
Th 0.000 0.500 0.500 x2